! MgRe, optimized geometry, DFT PBE; values from VASP
! Space group: R-3m
! Polymorph energy (0 for the lowest one): 99 meV per atom
! DFT total energy: -6.86 eV/atom
! Mass density: 10.2 g/cm³
! E_form: 0.166 eV per atom
&SYSTEM
  ibrav = 0, nat = 4, ntyp = 2
/
ATOMIC_SPECIES
Mg 24.30 Mg.upf
Re 186.21 Re.upf
ATOMIC_POSITIONS crystal
Mg 0.507 0.507 0.507
Re 0.256 0.256 0.256
Re 0.994 0.994 0.994
Mg 0.743 0.743 0.743
CELL_PARAMETERS angstrom
-1.614 -7.424 6.054
0.846 -8.349 4.894
0.901 -6.541 7.125


! AcPaNi2, optimized geometry, DFT PBE; values from VASP
! Space group: R-3m
! Polymorph energy (0 for the lowest one): 92 meV per atom
! DFT total energy: -6.44 eV/atom
! Mass density: 10.2 g/cm³
! E_form: -0.144 eV per atom
&SYSTEM
  ibrav = 0, nat = 4, ntyp = 3
/
ATOMIC_SPECIES
Ac 227.00 Ac.upf
Pa 231.04 Pa.upf
Ni 58.69 Ni.upf
ATOMIC_POSITIONS crystal
Ac 0.500 0.500 0.500
Pa 0.000 0.000 0.000
Ni 0.263 0.263 0.212
Ni 0.737 0.737 0.788
CELL_PARAMETERS angstrom
-3.760 0.472 -0.796
-1.387 -1.013 -3.471
-3.076 -6.832 1.062


! TmLu3, optimized geometry, DFT PBE; values from VASP
! Space group: Imm2
! Polymorph energy (0 for the lowest one): 1 meV per atom
! DFT total energy: -4.51 eV/atom
! Mass density: 9.8 g/cm³
! E_form: -0.004 eV per atom
&SYSTEM
  ibrav = 0, nat = 4, ntyp = 2
/
ATOMIC_SPECIES
Tm 168.93 Tm.upf
Lu 174.97 Lu.upf
ATOMIC_POSITIONS crystal
Tm 0.000 0.000 0.000
Lu 0.750 0.084 0.501
Lu 0.500 0.500 0.000
Lu 0.250 0.583 0.500
CELL_PARAMETERS angstrom
-3.025 -1.811 -0.044
1.774 -3.083 4.960
-1.696 6.250 0.737


! MnTc2MoN, optimized geometry, DFT PBE; values from VASP
! Space group: P4/mmm
! DFT total energy: -9.83 eV/atom
! Mass density: 9.6 g/cm³
&SYSTEM
  ibrav = 0, nat = 5, ntyp = 4
/
ATOMIC_SPECIES
Mn 54.94 Mn.upf
N 14.01 N.upf
Mo 95.94 Mo.upf
Tc 98.00 Tc.upf
ATOMIC_POSITIONS crystal
Mn 0.000 0.000 0.500
N 0.000 0.000 0.000
Mo 0.500 0.500 0.500
Tc 0.000 0.500 0.000
Tc 0.500 0.000 0.000
CELL_PARAMETERS angstrom
4.045 0.000 0.000
0.000 4.045 0.000
0.000 0.000 3.823


! Hf2AsAuC, optimized geometry, DFT PBE; values from VASP
! Space group: P4/mmm
! DFT total energy: -5.90 eV/atom
! Mass density: 9.3 g/cm³
! E_form: 1.514 eV per atom
&SYSTEM
  ibrav = 0, nat = 5, ntyp = 4
/
ATOMIC_SPECIES
Hf 178.49 Hf.upf
C 12.01 C.upf
Au 196.97 Au.upf
As 74.92 As.upf
ATOMIC_POSITIONS crystal
Hf 0.500 0.000 0.000
C 0.500 0.500 0.500
Au 0.000 0.500 0.000
Hf 0.000 0.000 0.500
As 0.000 0.000 0.000
CELL_PARAMETERS angstrom
-3.478 -3.374 -1.103
1.641 -0.279 -4.322
3.082 -3.636 1.405


! TaRhAu2, optimized geometry, DFT PBE; values from VASP
! Space group: Pmma
! Polymorph energy (0 for the lowest one): 0 meV per atom
! DFT total energy: -6.66 eV/atom
! Mass density: 16.4 g/cm³
! E_form: -0.225 eV per atom
&SYSTEM
  ibrav = 0, nat = 8, ntyp = 3
/
ATOMIC_SPECIES
Au 196.97 Au.upf
Ta 180.95 Ta.upf
Rh 102.91 Rh.upf
ATOMIC_POSITIONS crystal
Au 0.750 0.000 0.161
Ta 0.750 0.000 0.634
Au 0.250 0.000 0.839
Rh 0.250 0.500 0.588
Ta 0.250 0.000 0.366
Au 0.250 0.500 0.111
Au 0.750 0.500 0.889
Rh 0.750 0.500 0.412
CELL_PARAMETERS angstrom
4.443 0.000 0.000
0.000 3.375 -0.280
0.000 0.754 9.114


! LiBe2Ni, optimized geometry, DFT PBE; values from VASP
! Space group: R3m
! DFT total energy: -3.73 eV/atom
! Mass density: 3.5 g/cm³
! E_form: 0.059 eV per atom
&SYSTEM
  ibrav = 0, nat = 4, ntyp = 3
/
ATOMIC_SPECIES
Be 9.01 Be.upf
Ni 58.69 Ni.upf
Li 6.94 Li.upf
ATOMIC_POSITIONS crystal
Be 0.257 0.257 0.257
Ni 0.743 0.743 0.743
Be 0.000 0.000 0.000
Li 0.500 0.500 0.500
CELL_PARAMETERS angstrom
-6.874 2.387 3.428
-6.810 0.130 4.279
-5.625 1.888 5.431


| no. | magnetic moment (μB per formula unit) |
| --- | --- |
| 1 | 0.0 |
| 2 | 0.0 |
| 3 | 0.0 |
| 4 | 0.3 |
| 5 | 0.0 |
| 6 | 0.0 |
| 7 | 0.0 |